Here is crystalline Sn3BN at its relaxed geometry from Alexandria via LeMat-Bulk. Energies are from PBE.

Summary:
The relative energy among the computed polymorphs is 0 meV/atom. The calculation puts the formation energy without anion corrections at 6.19 eV/f.u. The total moment comes out at 0.000 μB/f.u.

a b c (Å): 4.7014 4.7014 4.7014
angles (deg): 90.00 90.00 90.00
With the nearest neighbours (Å) after each atom.
Fractional positions:
N: 0.0000 0.0000 0.0000  6 Sn 2.35
Sn: 0.0000 0.5000 0.0000  2 N 2.35
Sn: 0.5000 0.0000 0.0000  2 N 2.35
Sn: 0.0000 0.0000 0.5000  2 N 2.35
B: 0.5000 0.5000 0.5000  12 Sn 3.32

***

Here is crystalline MnAsSe2 at its relaxed geometry from Alexandria via LeMat-Bulk. Energies are from PBE.

Summary:
The calculation puts the formation energy without anion corrections at -0.04 eV/f.u. The total moment comes out at 4.390 μB/f.u.

a b c (Å): 4.7565 4.7565 4.7542
angles (deg): 70.18 70.18 108.79
With the nearest neighbours (Å) after each atom.
Fractional positions:
Se: 0.5000 0.5000 0.0000  2 As 2.73, 2 Mn 2.73, 2 Se 2.77
Se: 0.0000 0.0000 0.0000  2 Mn 2.73, 2 As 2.73, 2 Se 2.77
As: 0.5000 0.0000 0.5000  4 Se 2.73, 2 Mn 2.77
Mn: 0.0000 0.5000 0.5000  4 Se 2.73, 2 As 2.77

***

Here is crystalline GdDyLuTl at its relaxed geometry from Alexandria via LeMat-Bulk. Energies are from PBE.

Summary:
The calculation puts the formation energy at -66 meV per atom. The total moment comes out at 8.457 μB/f.u.

a b c (Å): 5.4511 5.4511 5.4511
angles (deg): 60.00 60.00 60.00
With the nearest neighbours (Å) after each atom.
Fractional positions:
Lu: 0.2500 0.2500 0.2500  4 Gd 3.34, 4 Dy 3.34
Gd: 0.0000 0.0000 0.0000  4 Tl 3.34, 4 Lu 3.34
Dy: 0.5000 0.5000 0.5000  4 Tl 3.34, 4 Lu 3.34
Tl: 0.7500 0.7500 0.7500  4 Dy 3.34, 4 Gd 3.34

***

Here is crystalline NaBi2OsO6 at its relaxed geometry from Alexandria via LeMat-Bulk. Energies are from PBE.

Summary:
The calculation puts the formation energy without anion corrections at -12.00 eV/f.u. The total moment comes out at 3.020 μB/f.u.

a b c (Å): 5.8055 5.8055 5.9670
angles (deg): 60.89 60.89 60.00
With the nearest neighbours (Å) after each atom.
Fractional positions:
O: 0.5736 0.1906 0.2426  1 Os 1.99
O: 0.4336 0.6592 0.7746  1 Os 2.01
O: 0.1326 0.4336 0.7746  1 Os 2.01
O: 0.9932 0.5736 0.2426  1 Os 1.99
O: 0.1906 0.9932 0.2426  1 Os 1.99
O: 0.6592 0.1325 0.7746  1 Os 2.01
Bi: 0.5290 0.5291 0.4128  6 O 2.35-2.48
Bi: 0.0237 0.0238 0.9288  6 O 2.39-2.40
Os: 0.3209 0.3209 0.0373  6 O 1.99-2.01
Na: 0.8051 0.8051 0.5847  6 O 2.27-2.49

***

Here is crystalline Ce2ZnCl at its relaxed geometry from Alexandria via LeMat-Bulk. Energies are from PBE.

Summary:
The relative energy among the computed polymorphs is 12 meV/atom. The calculation puts the formation energy without anion corrections at -2.70 eV/f.u. The total moment comes out at 1.604 μB/f.u.

a b c (Å): 3.3728 3.3728 8.0602
angles (deg): 90.00 90.00 90.00
With the nearest neighbours (Å) after each atom.
Fractional positions:
Ce: 0.0000 0.0000 0.2449  4 Zn 3.10, 4 Cl 3.15, 4 Ce 3.37
Ce: 0.0000 0.0000 0.7551  4 Zn 3.10, 4 Cl 3.15, 4 Ce 3.37
Zn: 0.5000 0.5000 0.0000  8 Ce 3.10, 4 Zn 3.37
Cl: 0.5000 0.5000 0.5000  8 Ce 3.15, 4 Cl 3.37

***

Here is crystalline Sc3CrIr at its relaxed geometry from Alexandria via LeMat-Bulk. Energies are from PBE.

Summary:
The relative energy among the computed polymorphs is 0 meV/atom. The calculation puts the formation energy at 84 meV per atom. The total moment comes out at 4.618 μB/f.u.

a b c (Å): 5.0272 5.0272 5.0272
angles (deg): 90.00 90.00 90.00
With the nearest neighbours (Å) after each atom.
Fractional positions:
Cr: 0.5000 0.5000 0.5000  12 Sc 3.55
Ir: 0.0000 0.0000 0.0000  6 Sc 2.51
Sc: 0.0000 0.5000 0.0000  2 Ir 2.51
Sc: 0.5000 0.0000 0.0000  2 Ir 2.51
Sc: 0.0000 0.0000 0.5000  2 Ir 2.51

***

Here is crystalline PaSn4S7 at its relaxed geometry from Alexandria via LeMat-Bulk. Energies are from PBE.

Summary:
The calculation puts the formation energy without anion corrections at -8.69 eV/f.u. The total moment comes out at 0.000 μB/f.u.

a b c (Å): 4.0313 6.8783 12.8815
angles (deg): 106.36 90.00 107.04
With the nearest neighbours (Å) after each atom.
Fractional positions:
S: 0.0126 0.0252 0.7853  1 Pa 2.62, 3 Sn 2.82
S: 0.7544 0.5088 0.3827  1 Pa 2.68, 2 Sn 2.69
S: 0.3370 0.6740 0.9501  3 Sn 2.67-2.80
S: 0.9747 0.9495 0.1928  3 Sn 2.60-2.73
S: 0.6372 0.2745 0.0318  3 Sn 2.63-2.72
S: 0.4975 0.9950 0.5363  2 Pa 2.64
S: 0.2735 0.5471 0.6269  2 Pa 2.68, 1 Sn 2.76
Sn: 0.3281 0.6563 0.1544  3 S 2.67-2.73
Sn: 0.9921 0.9841 0.9969  6 S 2.60-2.82
Sn: 0.1338 0.2676 0.4192  3 S 2.69-2.76
Sn: 0.6694 0.3389 0.8398  3 S 2.63-2.82
Pa: 0.8895 0.7790 0.5838  6 S 2.62-2.68

***

Here is crystalline NdZrRu2 at its relaxed geometry from Alexandria via LeMat-Bulk. Energies are from PBE.

Summary:
The calculation puts the formation energy at -351 meV per atom. The total moment comes out at 0.000 μB/f.u.

a b c (Å): 3.3601 3.3601 6.9263
angles (deg): 90.00 90.00 90.00
With the nearest neighbours (Å) after each atom.
Fractional positions:
Ru: 0.0000 0.0000 0.2233  4 Zr 2.83, 4 Nd 3.05, 1 Ru 3.09
Ru: 0.0000 0.0000 0.7767  4 Zr 2.83, 4 Nd 3.05, 1 Ru 3.09
Nd: 0.5000 0.5000 0.5000  8 Ru 3.05, 4 Nd 3.36
Zr: 0.5000 0.5000 0.0000  8 Ru 2.83

***

Here is crystalline LaCuSb2 at its relaxed geometry from Alexandria via LeMat-Bulk. Energies are from PBE.

Summary:
The calculation puts the formation energy without anion corrections at -1.52 eV/f.u. The total moment comes out at 0.000 μB/f.u.

a b c (Å): 5.9261 5.9261 5.9261
angles (deg): 135.50 135.50 64.76
With the nearest neighbours (Å) after each atom.
Fractional positions:
Cu: 0.5000 0.5000 0.0000  8 Sb 3.17-3.36, 4 La 3.36
Sb: 0.0000 0.0000 0.0000  4 Cu 3.17, 4 La 3.36, 4 Sb 3.36
Sb: 0.2500 0.7500 0.5000  4 La 3.17, 4 Cu 3.36, 4 Sb 3.36
La: 0.7500 0.2500 0.5000  8 Sb 3.17-3.36, 4 Cu 3.36

***

Here is crystalline Dy2ErIn3 at its relaxed geometry from Alexandria via LeMat-Bulk. Energies are from PBE.

Summary:
The calculation puts the formation energy at -460 meV per atom. The total moment comes out at 0.000 μB/f.u.

a b c (Å): 3.5498 3.5498 12.5067
angles (deg): 90.00 90.00 90.00
With the nearest neighbours (Å) after each atom.
Fractional positions:
In: 0.0000 0.0000 0.6650  4 Er 3.25, 4 Dy 3.27, 4 In 3.55
In: 0.0000 0.0000 0.0000  8 Dy 3.27, 4 In 3.55
In: 0.0000 0.0000 0.3350  4 Er 3.25, 4 Dy 3.27, 4 In 3.55
Er: 0.5000 0.5000 0.5000  8 In 3.25, 4 Er 3.55
Dy: 0.5000 0.5000 0.8325  8 In 3.27, 4 Dy 3.55
Dy: 0.5000 0.5000 0.1675  8 In 3.27, 4 Dy 3.55

***

Here is crystalline PNF2 at its relaxed geometry from Alexandria via LeMat-Bulk. Energies are from PBE.

Summary:
The relative energy among the computed polymorphs is 5 meV/atom. The calculation puts the formation energy without anion corrections at -7.01 eV/f.u. The total moment comes out at 0.000 μB/f.u.

a b c (Å): 13.9650 5.2770 7.6495
angles (deg): 67.19 90.00 90.00
With the nearest neighbours (Å) after each atom.
Fractional positions:
N: 0.9759 0.9960 0.2583  2 P 1.56
N: 0.0241 0.0040 0.7417  2 P 1.56
N: 0.3775 0.6504 0.4988  2 P 1.55
N: 0.1225 0.1504 0.9988  2 P 1.55
N: 0.6225 0.3496 0.5012  2 P 1.55
N: 0.4759 0.5040 0.2417  2 P 1.56
N: 0.8775 0.8496 0.0012  2 P 1.55
N: 0.5241 0.4960 0.7583  2 P 1.56
P: 0.0756 0.1275 0.1881  2 N 1.55-1.56, 2 F 1.56-1.57
P: 0.4244 0.6275 0.6881  2 N 1.55-1.56, 2 F 1.56-1.57
P: 0.5756 0.3725 0.3119  2 N 1.55-1.56, 2 F 1.56-1.57
P: 0.8859 0.8792 0.1948  2 N 1.55-1.56, 2 F 1.56
P: 0.1141 0.1208 0.8052  2 N 1.55-1.56, 2 F 1.56
P: 0.3859 0.6208 0.3052  2 N 1.55-1.56, 2 F 1.56
P: 0.6141 0.3792 0.6948  2 N 1.55-1.56, 2 F 1.56
P: 0.9244 0.8725 0.8119  2 N 1.55-1.56, 2 F 1.56-1.57
F: 0.3627 0.9050 0.1450  1 P 1.56
F: 0.2031 0.9557 0.7847  1 P 1.56
F: 0.7031 0.5443 0.7153  1 P 1.56
F: 0.8627 0.5950 0.3550  1 P 1.56
F: 0.6373 0.0950 0.8550  1 P 1.56
F: 0.1373 0.4050 0.6450  1 P 1.56
F: 0.3510 0.4874 0.8501  1 P 1.56
F: 0.9250 0.5775 0.8074  1 P 1.57
F: 0.2969 0.4557 0.2847  1 P 1.56
F: 0.5750 0.0775 0.3074  1 P 1.57
F: 0.7969 0.0443 0.2153  1 P 1.56
F: 0.8510 0.0126 0.6499  1 P 1.56
F: 0.0750 0.4225 0.1926  1 P 1.57
F: 0.4250 0.9225 0.6926  1 P 1.57
F: 0.1490 0.9874 0.3501  1 P 1.56
F: 0.6490 0.5126 0.1499  1 P 1.56

***

Here is crystalline CoSi3C at its relaxed geometry from Alexandria via LeMat-Bulk. Energies are from PBE.

Summary:
The relative energy among the computed polymorphs is 428 meV/atom. The calculation puts the formation energy without anion corrections at 6.42 eV/f.u. The total moment comes out at 0.970 μB/f.u.

a b c (Å): 4.2409 4.2409 4.2409
angles (deg): 90.00 90.00 90.00
With the nearest neighbours (Å) after each atom.
Fractional positions:
Si: 0.0000 0.0000 0.5000  2 Co 2.12
Si: 0.5000 0.0000 0.0000  2 Co 2.12
Si: 0.0000 0.5000 0.0000  2 Co 2.12
C: 0.5000 0.5000 0.5000  12 Si 3.00
Co: 0.0000 0.0000 0.0000  6 Si 2.12

***

Listing DOS at the Fermi energy for the structures above in their given order: 2.6; 1.8; 4.9; 1.3; 10.4; 4.7; 5.2; 1.7; 1.5; 3.3; 0.0; 2.7 states/eV per cell.
Listing total DFT energy (no corrections) for the structures above in their given order: -4.165; -5.206; -6.458; -6.206; -4.421; -7.412; -5.257; -8.318; -4.698; -4.123; -6.123; -5.236 eV per atom.